(1)
12
Lattice="-5.8155 -2.9905 2.4722 3.3831 -6.0892 0.5924 3.1495 6.2588 5.0948" Properties=species:S:1:pos:R:3 comment="BaLaAg2Cl8 PBE optimized geometry" e_form_raw_kj_per_mol_atoms=-150.4 sg="I-4, No. 82" n_ef_per_ev_atom=0.781 pbc="T T T"
Ba -1.9411 -0.6358 4.5497
La 0.0000 0.0000 0.0000
Ag -1.2162 -4.5399 1.5323
Ag 2.6582 -2.1852 3.6098
Cl -1.0080 -6.5689 3.0443
Cl -0.8945 -2.0397 1.8365
Cl 0.7914 -1.8721 5.3519
Cl 5.1725 -1.9227 4.0869
Cl 2.2053 -0.2605 1.9640
Cl 2.4638 -4.6854 3.0363
Cl 3.9239 1.2664 5.1173
Cl -0.5870 1.7003 6.3208

(2)
6
Lattice="4.5747 -0.0001 0.0002 0.0001 6.5015 -0.0786 -0.0005 -1.6112 6.5360" Properties=species:S:1:pos:R:3 comment="RbZnCd PBE optimized geometry" de_polymorph_ev_per_fu=0.10 e_form_ev_per_atom=0.037 sg="P2_1/m, No. 11" n_ef_per_ev_atom=0.366 pbc="T T T"
Rb 3.7149 5.2039 0.7446
Rb 1.4275 2.0440 0.2974
Zn 3.7142 -1.0050 4.2487
Zn 1.4269 0.1401 3.4109
Cd 3.7146 1.8709 3.5380
Cd 1.4272 3.7653 4.0367

(3)
4
Lattice="4.6079 0.0000 0.0000 0.0000 4.6079 0.0000 0.0000 0.0000 3.8212" Properties=species:S:1:pos:R:3 comment="SrAg2Os PBE optimized geometry" de_polymorph_ev_per_fu=0.22 e_form_ev_per_atom=0.657 sg="P4/mmm, No. 123" n_ef_per_ev_atom=0.483 pbc="T T T"
Ag 0.0000 0.0000 0.0000
Ag 2.3039 2.3039 0.0000
Os 2.3039 0.0000 1.9106
Sr 0.0000 2.3039 1.9106

(4)
3
Lattice="6.3174 0.0101 0.0000 4.9865 3.8787 0.0000 -5.6519 -1.9444 2.0456" Properties=species:S:1:pos:R:3 comment="InOsPt PBE optimized geometry" de_polymorph_ev_per_fu=0.85 e_form_ev_per_atom=0.249 sg="I4mm, No. 107" n_ef_per_ev_atom=1.101 pbc="T T T"
In 11.2709 3.8775 0.0000
Os 3.7104 1.2765 0.0000
Pt 7.6265 2.6237 0.0000

Which formula does entry 2 have? RbZnCd